CeTh2Pt | GGA-PBE | relaxed

The structure in extended XYZ format:
```
4
Lattice="5.3959 0.0000 0.0000 0.0000 5.3959 0.0000 0.0000 0.0000 3.5074" Properties=species:S:1:pos:R:3 pbc="T T T"
Ce 0.0000 0.0000 0.0000
Th 0.0000 2.6980 1.7537
Th 2.6980 0.0000 1.7537
Pt 2.6980 2.6980 0.0000
```

For the volume, the calculation gives 102.1 Å³/cell. For the calculated formation energy, the calculation gives -0.415 eV per atom. The value obtained for the magnetization is 0.00 Bohr magnetons per cell. As for the total energy: -7.12 eV per atom. Its crystal system is tetragonal.